MgTaCrO6 | GGA+U | relaxed

The structure belongs to space group P4_2nm (No. 102); the cell edges are 4.6460, 4.6460 and 9.1398 Å and the angles 90.00°, 90.00° and 90.00°. The asymmetric unit holds Mg at (0.0000, 0.0000, 0.0000), Ta at (0.0000, 0.0000, 0.6600), Cr at (0.0000, 0.0000, 0.3311), O at (0.1889, 0.1889, 0.4909), O at (0.2008, 0.2008, 0.1768) and O at (0.2175, 0.2175, 0.8197).

The electronic total energy comes out at -7.79 eV per atom. The total magnetic moment is 0.111 μB/atom.